No. 1
This record from Alexandria via LeMat-Bulk describes a relaxed structure of DyBiTe3. The functional is PBE.

Computed properties:
As for the distance to the lowest polymorph of the same formula: 0.000 eV per atom. As for the space group: P2_1/m. The energy relative to the elements, uncorrected is -386.8 kJ/mol of formula units.

Lattice parameters (Å, degrees): 7.652 4.399 11.366 90.00 102.21 90.00
Element x y z (fractional)
Dy  0.233  0.250  0.490
Dy  0.767  0.750  0.510
Bi  0.362  0.250  0.852
Bi  0.638  0.750  0.148
Te  0.027  0.750  0.334
Te  0.246  0.750  0.004
Te  0.461  0.750  0.651
Te  0.539  0.250  0.349
Te  0.754  0.250  0.996
Te  0.973  0.250  0.666

No. 2
This record from Alexandria via LeMat-Bulk describes a relaxed structure of ScNi2Ru. The functional is PBE.

Computed properties:
The energy of formation from the pure elements comes out at -0.146 eV/atom. As for the space group: Cm. As for the density of states at the Fermi level: 8.342 states/eV/cell.

Lattice parameters (Å, degrees): 8.817 2.803 4.589 90.00 102.77 90.00
Element x y z (fractional)
Sc  0.000  0.000  0.000
Sc  0.500  0.500  0.000
Ni  0.257  0.500  0.237
Ni  0.493  0.000  0.496
Ni  0.757  0.000  0.237
Ni  0.993  0.500  0.496
Ru  0.236  0.000  0.688
Ru  0.736  0.500  0.688

| no. | size of the total moment (μB/f.u.) |
| --- | --- |
| 1 | 0.00 |
| 2 | 0.00 |